# Tb2CdIr (PBE-GGA, relaxed)
data_Tb2CdIr
_cell_length_a 3.5352
_cell_length_b 3.5352
_cell_length_c 7.5492
_cell_angle_alpha 90.00
_cell_angle_beta 90.00
_cell_angle_gamma 90.00
_symmetry_space_group_name_H-M 'P 4/m m m'
_symmetry_Int_Tables_number 123
_symmetry_space_group_name_Hall '-P 4 2'
loop_
_atom_site_label
_atom_site_fract_x
_atom_site_fract_y
_atom_site_fract_z
Tb1 0.0000 0.0000 0.2159
Cd1 0.5000 0.5000 0.5000
Ir1 0.5000 0.5000 0.0000
# M_tot (Bohr magnetons per cell): 0.0
# ΔH_f (0 K) (meV per atom): -603
# Mass density (kg/m³): 10956

=====

# TbCdIr (PBE-GGA, relaxed)
data_TbCdIr
_cell_length_a 14.8323
_cell_length_b 3.6149
_cell_length_c 4.7095
_cell_angle_alpha 90.00
_cell_angle_beta 90.39
_cell_angle_gamma 90.00
_symmetry_space_group_name_H-M 'C 1 2/m 1'
_symmetry_Int_Tables_number 12
loop_
_symmetry_equiv_pos_as_xyz
'x,y,z'
'-x,-y,-z'
'-x,y,-z'
'x,-y,z'
'x+1/2,y+1/2,z'
'-x+1/2,-y+1/2,-z'
'-x+1/2,y+1/2,-z'
'x+1/2,-y+1/2,z'
loop_
_atom_site_label
_atom_site_fract_x
_atom_site_fract_y
_atom_site_fract_z
Tb1 0.0811 0.0000 0.2511
Cd1 0.2301 0.0000 0.7506
Ir1 0.0772 0.5000 0.7511
# M_tot (Bohr magnetons per cell): 0.0
# ΔH_f (0 K) (meV per atom): -455
# Mass density (kg/m³): 12194

=====

# Tb3CdIr (PBE-GGA, relaxed)
data_Tb3CdIr
_cell_length_a 4.0419
_cell_length_b 7.7011
_cell_length_c 9.8886
_cell_angle_alpha 98.89
_cell_angle_beta 101.65
_cell_angle_gamma 105.18
_symmetry_space_group_name_H-M 'P -1'
_symmetry_Int_Tables_number 2
loop_
_symmetry_equiv_pos_as_xyz
'x,y,z'
'-x,-y,-z'
loop_
_atom_site_label
_atom_site_fract_x
_atom_site_fract_y
_atom_site_fract_z
Tb1 0.0634 0.2391 0.3921
Tb2 0.1533 0.8043 0.0027
Tb3 0.3715 0.4503 0.7901
Cd1 0.3639 0.8764 0.3536
Ir1 0.4318 0.1748 0.1908
# M_tot (Bohr magnetons per cell): 0.0
# Energy above the most stable polymorph in this dataset (meV per atom): 88
# ΔH_f (0 K) (meV per atom): -429
# Mass density (kg/m³): 9143

=====

# TbCdIr (PBE-GGA, relaxed)
data_TbCdIr
_cell_length_a 3.6111
_cell_length_b 3.6111
_cell_length_c 9.6873
_cell_angle_alpha 90.00
_cell_angle_beta 90.00
_cell_angle_gamma 90.00
_symmetry_space_group_name_H-M 'I 4 m m'
_symmetry_Int_Tables_number 107
_symmetry_space_group_name_Hall 'I 4 -2'
loop_
_atom_site_label
_atom_site_fract_x
_atom_site_fract_y
_atom_site_fract_z
Tb1 0.0000 0.0000 0.0000
Cd1 0.0000 0.0000 0.3054
Ir1 0.0000 0.0000 0.6448
# M_tot (Bohr magnetons per cell): 0.0
# ΔH_f (0 K) (meV per atom): -370
# Mass density (kg/m³): 12187

=====

Short version: total energy = -21.45 -63.08 -51.63 -31.04 eV per cell, in the order given.